Density functional theory data (PBE with a Hubbard U) for crystalline GaCo3O at its relaxed geometry.

## Properties
D(E_F) (states/eV/cell): 2.2
Total DFT energy (no corrections) (eV per atom): -3.06
M_tot (μB/f.u.): 6.03

a b c (Å): 4.429 4.429 4.429
angles (deg): 90.00 90.00 90.00
Space group Pm-3m (No. 221)
Inequivalent atoms, fractional coordinates:
Ga: 0.000 0.000 0.000 (multiplicity 1)
Co: 0.000 0.000 0.500 (multiplicity 3)
O: 0.500 0.500 0.500 (multiplicity 1)